# 1
Below is crystalline LaPmGe2Pt2 at its relaxed geometry, with properties calculated at the PBE-GGA level.

abc: 4.344 4.344 8.279
angles: 90.00 90.00 120.00
Fractional positions:
Pm: 0.000 0.000 0.500
La: 0.000 0.000 0.000
Pt: 0.667 0.333 0.258
Pt: 0.333 0.667 0.742
Ge: 0.333 0.667 0.258
Ge: 0.667 0.333 0.742

ρ: 10.06 g cm⁻³
Size of the total moment: 0.000 μB/f.u.
Space group: P-3m1, No. 164
ΔH_f (0 K): -6.39 eV/f.u.
E_tot: -0.2290 hartree per atom

# 2
Below is crystalline Cs4K2Na5 at its relaxed geometry, with properties calculated at the PBE-GGA level.

abc: 4.820 11.766 25.819
angles: 90.00 90.00 90.00
Fractional positions:
Na: 0.000 0.730 0.711
Na: 0.000 0.098 0.568
Na: 0.000 0.402 0.068
Na: 0.000 0.598 0.932
Na: 0.000 0.270 0.289
Na: 0.000 0.230 0.789
Na: 0.000 0.500 0.500
Na: 0.000 0.902 0.432
Na: 0.000 0.000 0.000
Na: 0.000 0.770 0.211
Cs: 0.500 0.780 0.560
Cs: 0.500 0.395 0.638
Cs: 0.500 0.105 0.138
Cs: 0.500 0.720 0.060
Cs: 0.500 0.280 0.940
Cs: 0.500 0.895 0.862
Cs: 0.500 0.605 0.362
Cs: 0.500 0.220 0.440
K: 0.500 0.525 0.803
K: 0.500 0.475 0.197
K: 0.500 0.025 0.697
K: 0.500 0.975 0.303

ρ: 1.64 g cm⁻³
Size of the total moment: 0.000 μB/f.u.
Space group: Pbam, No. 55
ΔH_f (0 K): 0.33 eV/f.u.
E_tot: -0.0397 hartree per atom

# 3
Below is crystalline In2SnTePt at its relaxed geometry, with properties calculated at the PBE-GGA level.

abc: 5.235 5.235 5.243
angles: 90.00 90.00 90.00
Fractional positions:
In: 0.000 0.500 0.000
In: 0.500 0.000 0.000
Pt: 0.000 0.000 0.000
Te: 0.500 0.500 0.500
Sn: 0.000 0.000 0.500

ρ: 7.75 g cm⁻³
Size of the total moment: 0.000 μB/f.u.
Space group: P4/mmm, No. 123
Uncorrected formation energy: -286 meV/atom
E_tot: -0.1477 hartree per atom

Which value of size of the total moment does entry 1 give?
0.000 μB/f.u.